Material: Mg6Si5
Method: DFT, PBE
State: relaxed

Unit cell a=4.142 b=7.068 c=14.652 alpha=81.12 beta=90.00 gamma=90.00
Element x y z (fractional)
Mg: 0.500 0.592 0.951
Mg: 0.500 0.213 0.561
Mg: 0.000 0.685 0.292
Mg: 0.500 0.017 0.786
Mg: 0.500 0.529 0.713
Mg: 0.500 0.420 0.201
Mg: 0.000 0.187 0.394
Mg: 0.000 0.556 0.522
Mg: 0.000 0.339 0.847
Mg: 0.500 0.891 0.119
Mg: 0.000 0.286 0.055
Mg: 0.000 0.923 0.955
Si: 0.500 0.829 0.577
Si: 0.500 0.768 0.426
Si: 0.000 0.636 0.100
Si: 0.000 0.727 0.811
Si: 0.000 0.257 0.675
Si: 0.500 0.448 0.392
Si: 0.000 0.088 0.218
Si: 0.000 0.914 0.655
Si: 0.500 0.182 0.953
Si: 0.500 0.009 0.299

Values from the calculation:
Volume (Å³ per atom): 19.26
Crystal system: monoclinic
Distance to the lowest polymorph of the same formula (eV per atom): 0.000
Energy (eV per atom): -3.338
ΔE_f (raw) (meV per atom): -4
DOS at the Fermi energy (states/eV per atom): 0.281